VASP calculation (PBE) on a geometry-optimized CdOs2Pt structure.

Values from the calculation:
Its total energy is -27.52 eV per formula unit. The calculation puts the formation energy from the elements at 0.475 eV per atom. For the magnetic moment, the calculation gives 0.6 Bohr magnetons per cell.

```
data_CdOs2Pt
_cell_length_a 4.0231
_cell_length_b 4.0231
_cell_length_c 7.7728
_cell_angle_alpha 90.00
_cell_angle_beta 90.00
_cell_angle_gamma 90.00
_space_group_name_H-M_alt 'I -4 m 2'
_space_group_IT_number 119
_space_group_name_Hall 'I -4 -2'
loop_
_atom_site_label
_atom_site_type_symbol
_atom_site_fract_x
_atom_site_fract_y
_atom_site_fract_z
Cd1 Cd 0.0000 0.0000 0.0000
Os1 Os 0.0000 0.0000 0.5000
Os2 Os 0.0000 0.5000 0.7500
Pt1 Pt 0.0000 0.5000 0.2500
```